A plane-wave DFT calculation with GGA-PBE was carried out for an optimized crystal structure of Y3TeH3.

Summary:
Density (Mg/m³): 5.455
Density of states at the Fermi level (states/eV/cell): 12.42
Calculated total energy (eV/f.u.): -36.89
Total moment (μB/cell): 0.0

Unit cell a=6.2307 b=6.2307 c=6.2307 alpha=90.00 beta=90.00 gamma=90.00
With the nearest neighbours (Å) after each atom.
Space group Pm-3n (No. 223)
Asymmetric unit:
Y 0.0000 0.2500 0.5000  4 H 2.20
Te 0.0000 0.0000 0.0000  12 H 3.48, 12 Y 3.48
H 0.0000 0.5000 0.2500  4 Y 2.20


A plane-wave DFT calculation with GGA-PBE was carried out for an optimized crystal structure of YTe2H.

Summary:
Density (Mg/m³): 5.265
Density of states at the Fermi level (states/eV/cell): 0.00
Energy above the lowest structure with this stoichiometry (kJ/mol of formula units): 36.1
Calculated total energy (eV/f.u.): -19.08
Total moment (μB/cell): 0.0

Unit cell a=7.7154 b=4.2172 c=13.3809 alpha=90.00 beta=90.00 gamma=90.00
With the nearest neighbours (Å) after each atom.
Space group Pnma (No. 62)
Asymmetric unit:
Y 0.1332 0.2500 0.1219  5 Te 3.02-3.31
Te 0.0811 0.2500 0.7332  1 H 1.69
Te 0.2277 0.7500 0.9700  3 Y 3.02-3.04, 3 H 3.03-3.38
H 0.0585 0.7500 0.3645  1 Te 1.69


A plane-wave DFT calculation with GGA-PBE was carried out for an optimized crystal structure of YTe2H.

Summary:
Density (Mg/m³): 5.440
Density of states at the Fermi level (states/eV/cell): 0.00
Energy above the lowest structure with this stoichiometry (kJ/mol of formula units): 13.8
Calculated total energy (eV/f.u.): -19.31
Total moment (μB/cell): 0.0

Unit cell a=4.1796 b=5.8683 c=9.2901 alpha=97.75 beta=90.02 gamma=110.85
With the nearest neighbours (Å) after each atom.
Space group P1 (No. 1)
Asymmetric unit:
Y 0.0000 0.0000 0.0000  1 H 2.22
Y 0.2801 0.5605 0.7306  2 H 2.31-2.32
Te 0.3010 0.6016 0.0600  1 Te 2.95, 4 Y 3.04-3.27, 2 H 3.24
Te 0.5382 0.0765 0.2547  2 Te 2.95-3.01, 2 H 2.98-3.00, 2 Y 3.14
Te 0.5638 0.1278 0.7607  5 Y 3.08-3.20, 3 H 3.13-3.20
Te 0.7680 0.5373 0.4737  1 H 1.69
H 0.8525 0.7051 0.8089  3 Y 2.22-2.32
H 0.8913 0.7895 0.3877  1 Te 1.69


A plane-wave DFT calculation with GGA-PBE was carried out for an optimized crystal structure of YTe2H2.

Summary:
Density (Mg/m³): 6.075
Density of states at the Fermi level (states/eV/cell): 5.98
Calculated total energy (eV/f.u.): -19.33
Total moment (μB/cell): 0.8

Unit cell a=3.8165 b=3.8165 c=12.9916 alpha=90.00 beta=90.00 gamma=90.00
With the nearest neighbours (Å) after each atom.
Space group I4/mmm (No. 139)
Asymmetric unit:
Y 0.0000 0.0000 0.0000  8 Te 3.23
Te 0.0000 0.0000 0.3630  4 H 2.41
H 0.0000 0.5000 0.2500  4 Te 2.41


Question: Which formula does entry 3 have?
Answer: YTe2H